No. 1
A relaxed structure of CaLuAg2. Source: the Alexandria database, functional GGA-PBE.

Cell lengths 3.613, 3.613, 7.374 Å; angles 90.00, 90.00, 90.00 degrees
Sites, in units of the cell vectors:
Ca (0.000, 0.000, 0.000)
Lu (0.000, 0.000, 0.500)
Ag (0.500, 0.500, 0.277)
Ag (0.500, 0.500, 0.723)

Properties
* ΔH_f (0 K): -0.3296 eV/atom
* raw total energy: -3.3859 eV per atom
* crystal system: tetragonal


No. 2
A relaxed structure of LaPr4Au5. Source: the Alexandria database, functional GGA-PBE.

Cell lengths 3.729, 3.729, 18.994 Å; angles 90.00, 90.00, 90.00 degrees
Sites, in units of the cell vectors:
La (0.000, 0.000, 0.000)
Pr (0.000, 0.000, 0.201)
Pr (0.000, 0.000, 0.401)
Pr (0.000, 0.000, 0.599)
Pr (0.000, 0.000, 0.799)
Au (0.500, 0.500, 0.102)
Au (0.500, 0.500, 0.301)
Au (0.500, 0.500, 0.500)
Au (0.500, 0.500, 0.699)
Au (0.500, 0.500, 0.898)

Properties
* ΔH_f (0 K): -0.7527 eV/atom
* raw total energy: -4.7960 eV per atom
* crystal system: tetragonal


No. 3
A relaxed structure of YSiNO2. Source: the Alexandria database, functional GGA-PBE.

Cell lengths 4.334, 4.334, 4.518 Å; angles 90.00, 90.00, 90.00 degrees
Sites, in units of the cell vectors:
Y (0.000, 0.000, 0.000)
Si (0.500, 0.500, 0.500)
N (0.000, 0.000, 0.500)
O (0.000, 0.500, 0.000)
O (0.500, 0.000, 0.000)

Properties
* energy relative to the elements, uncorrected: -95.9 kJ/mol of formula units
* raw total energy: -6.2247 eV per atom
* crystal system: tetragonal


No. 4
A relaxed structure of MoHRu2Rh. Source: the Alexandria database, functional GGA-PBE.

Cell lengths 3.927, 3.927, 3.863 Å; angles 90.00, 90.00, 90.00 degrees
Sites, in units of the cell vectors:
Mo (0.000, 0.000, 0.000)
H (0.500, 0.500, 0.500)
Ru (0.000, 0.500, 0.500)
Ru (0.500, 0.000, 0.500)
Rh (0.500, 0.500, 0.000)

Properties
* relative energy among the computed polymorphs: 0.000 eV per atom
* raw total energy: -8.0827 eV per atom
* crystal system: tetragonal